Entry 1:
Entry from Alexandria via LeMat-Bulk: a relaxed structure of Sr2Ac15Nd2 (PBE).

ρ = 7.109 g/cm3
SG = R-3m, No. 166
Size of the total moment = 0.000 μB/atom
DFT total energy = -3.69 eV/atom

a = 9.7621 Å, b = 9.7621 Å, c = 9.7621 Å
α = 81.71°, β = 81.71°, γ = 81.71°
Atoms (fractional coordinates):
1 Sr 0.1672 0.1672 0.1672
2 Sr 0.8328 0.8328 0.8328
3 Ac 0.0000 0.5000 0.5000
4 Ac 0.1440 0.1440 0.6462
5 Ac 0.1440 0.6462 0.1440
6 Ac 0.2063 0.5000 0.7937
7 Ac 0.2063 0.7937 0.5000
8 Ac 0.3538 0.8560 0.8560
9 Ac 0.5000 0.0000 0.5000
10 Ac 0.5000 0.2063 0.7937
11 Ac 0.5000 0.5000 0.0000
12 Ac 0.5000 0.7937 0.2063
13 Ac 0.6462 0.1440 0.1440
14 Ac 0.7937 0.2063 0.5000
15 Ac 0.7937 0.5000 0.2063
16 Ac 0.8560 0.3538 0.8560
17 Ac 0.8560 0.8560 0.3538
18 Nd 0.4087 0.4087 0.4087
19 Nd 0.5913 0.5913 0.5913

Entry 2:
Entry from Alexandria via LeMat-Bulk: a relaxed structure of Fe5CoNi6 (PBE).

ρ = 8.498 g/cm3
SG = C2/m, No. 12
Size of the total moment = 1.560 μB/atom
DFT total energy = -7.07 eV/atom

a = 6.6458 Å, b = 6.6458 Å, c = 3.5425 Å
α = 105.39°, β = 105.39°, γ = 106.08°
Atoms (fractional coordinates):
1 Fe 0.0000 0.0000 0.0000
2 Fe 0.1660 0.8340 0.5000
3 Fe 0.3358 0.6642 0.0000
4 Fe 0.6642 0.3358 0.0000
5 Fe 0.8340 0.1660 0.5000
6 Co 0.5000 0.5000 0.5000
7 Ni 0.0843 0.4166 0.2504
8 Ni 0.2507 0.2507 0.7507
9 Ni 0.4166 0.0843 0.2504
10 Ni 0.5834 0.9157 0.7496
11 Ni 0.7493 0.7493 0.2493
12 Ni 0.9157 0.5834 0.7496

| no. | formation energy from the elements (meV per atom) |
| --- | --- |
| 1 | 229 |
| 2 | -65 |